The following is a PBE-GGA calculation of an optimized crystal structure of PrNdAs2Os2O2, from the Open Quantum Materials Database.

As for the calculated total energy: -64.30 eV/cell.

a = 4.1232 Å, b = 4.1232 Å, c = 8.3112 Å
α = 90.00°, β = 90.00°, γ = 90.00°
Space group P4mm (No. 99)
Symmetry-distinct sites (fractional):
Pr  0.0000  0.0000  0.0000 (multiplicity 1)
Nd  0.5000  0.5000  0.2784 (multiplicity 1)
As  0.0000  0.0000  0.4770 (multiplicity 1)
As  0.5000  0.5000  0.8010 (multiplicity 1)
Os  0.0000  0.5000  0.6389 (multiplicity 2)
O  0.0000  0.5000  0.1414 (multiplicity 2)